7
Lattice="4.217 -1.902 0.000 4.217 1.902 0.000 -0.513 0.000 6.054" Properties=species:S:1:pos:R:3 comment="PBE-GGA Li2Si3Rh2, optimized geometry" e_tot_ev_per_atom=-5.422 e_form_raw_ev_per_atom=-0.450 pbc="T T T"
Li 0.950 0.000 2.635
Li 6.972 0.000 3.419
Si 0.000 0.000 0.000
Si 1.926 0.000 5.030
Si 5.996 0.000 1.024
Rh 3.467 0.000 1.246
Rh 4.455 0.000 4.809